Record 1
Density functional theory data (PBE) for a relaxed structure of Mg2AgOs.

Unit cell a=2.8415 b=2.8415 c=8.7506 alpha=90.00 beta=90.00 gamma=90.00
Space group P4mm (No. 99)
Asymmetric unit:
Mg (0.0000, 0.0000, 0.0000)
Mg (0.5000, 0.5000, 0.2964)
Ag (0.5000, 0.5000, 0.7581)
Os (0.0000, 0.0000, 0.5171)

The energy of formation comes out at 1.33 eV per formula unit. The calculation puts the total magnetic moment at 0.235 μB/atom. Its density of states at the Fermi level is 3.2 states/eV/f.u.


Record 2
Density functional theory data (PBE) for a relaxed structure of PaGaRh4.

Unit cell a=5.3711 b=5.3711 c=8.4115 alpha=71.45 beta=71.55 gamma=89.98
Space group P-1 (No. 2)
Asymmetric unit:
Pa (0.2499, 0.2496, 0.9996)
Ga (0.0000, 0.5000, 0.5000)
Ga (0.5000, 0.0000, 0.5000)
Rh (0.0773, 0.0765, 0.7254)
Rh (0.1990, 0.5772, 0.7250)
Rh (0.3012, 0.3020, 0.2747)
Rh (0.4222, 0.8019, 0.2748)

The energy of formation comes out at -3.34 eV per formula unit. The calculation puts the total magnetic moment at 0.000 μB/atom. Its density of states at the Fermi level is 4.2 states/eV/f.u.


Record 3
Density functional theory data (PBE) for a relaxed structure of ZrBrN.

Unit cell a=3.4973 b=3.4973 c=13.5780 alpha=90.00 beta=90.00 gamma=120.00
Space group P-3m1 (No. 164)
Asymmetric unit:
Zr (0.0000, 0.0000, 0.1943)
Br (0.3333, 0.6667, 0.6551)
N (0.3333, 0.6667, 0.1508)

The energy relative to the elements, uncorrected comes out at -1344 meV per atom. The calculation puts the total magnetic moment at 0.000 μB/atom. Its density of states at the Fermi level is 0.0 states/eV/f.u.


Record 4
Density functional theory data (PBE) for a relaxed structure of Cd2SiF.

Unit cell a=6.5995 b=6.5995 c=6.5995 alpha=90.00 beta=90.00 gamma=90.00
Space group Fm-3m (No. 225)
Asymmetric unit:
Cd (0.2500, 0.2500, 0.2500)
Si (0.0000, 0.0000, 0.0000)
F (0.0000, 0.0000, 0.5000)

The energy relative to the elements, uncorrected comes out at -316 meV per atom. The calculation puts the total magnetic moment at 0.000 μB/atom. Its density of states at the Fermi level is 3.1 states/eV/f.u. The energy above the most stable polymorph in this dataset comes out at 87 meV/atom.


no.,raw total energy (eV per atom)
1,-3.985
2,-7.544
3,-7.526
4,-2.597